No. 1
A relaxed KNaIn2I4 crystal. Source: Alexandria via LeMat-Bulk, functional PBE.

Properties
- energy relative to the elements, uncorrected (meV/atom) = -895
- size of the total moment (μB per formula unit) = 0.00
- electronic total energy (eV/atom) = -2.657
- V (Å³/f.u.) = 338
- crystal system = monoclinic

CIF file:
```
data_KNaIn2I4
_chemical_formula_sum 'K1 Na1 In2 I4'
_cell_length_a 8.5072
_cell_length_b 4.8997
_cell_length_c 8.5714
_cell_angle_alpha 90.00
_cell_angle_beta 109.15
_cell_angle_gamma 90.00
_space_group_name_H-M_alt 'P 1 2/m 1'
_space_group_IT_number 10
loop_
_space_group_symop_operation_xyz
'x,y,z'
'-x,-y,-z'
'-x,y,-z'
'x,-y,z'
loop_
_atom_site_label
_atom_site_type_symbol
_atom_site_fract_x
_atom_site_fract_y
_atom_site_fract_z
K1 K 0.0000 0.0000 0.0000
Na1 Na 0.5000 0.5000 0.0000
In1 In 0.0000 0.5000 0.5000
In2 In 0.5000 0.0000 0.5000
I1 I 0.2597 0.5000 0.2419
I2 I 0.2649 0.0000 0.7638
```

***

No. 2
A relaxed KNdIn2I6 crystal. Source: Alexandria via LeMat-Bulk, functional PBE.

Properties
- energy relative to the elements, uncorrected (meV/atom) = -1044
- size of the total moment (μB per formula unit) = 0.00
- electronic total energy (eV/atom) = -3.109
- V (Å³/f.u.) = 492
- crystal system = trigonal

CIF file:
```
data_KNdIn2I6
_chemical_formula_sum 'K3 Nd3 In6 I18'
_cell_length_a 8.6569
_cell_length_b 8.6569
_cell_length_c 22.7277
_cell_angle_alpha 90.00
_cell_angle_beta 90.00
_cell_angle_gamma 120.00
_space_group_name_H-M_alt 'R 3'
_space_group_IT_number 146
_space_group_name_Hall 'R 3'
loop_
_atom_site_label
_atom_site_type_symbol
_atom_site_fract_x
_atom_site_fract_y
_atom_site_fract_z
K1 K 0.0000 0.0000 0.0000
Nd1 Nd 0.0000 0.0000 0.4919
In1 In 0.0000 0.0000 0.2976
In2 In 0.0000 0.0000 0.8051
I1 I 0.0008 0.7159 0.4045
I2 I 0.0118 0.3800 0.2317
```

***

No. 3
A relaxed K2NpInI6 crystal. Source: Alexandria via LeMat-Bulk, functional PBE.

Properties
- energy relative to the elements, uncorrected (meV/atom) = -1028
- size of the total moment (μB per formula unit) = 4.00
- electronic total energy (eV/atom) = -3.746
- V (Å³/f.u.) = 494
- crystal system = trigonal

CIF file:
```
data_K2NpInI6
_chemical_formula_sum 'K6 Np3 In3 I18'
_cell_length_a 8.6505
_cell_length_b 8.6505
_cell_length_c 22.8520
_cell_angle_alpha 90.00
_cell_angle_beta 90.00
_cell_angle_gamma 120.00
_space_group_name_H-M_alt 'R 3'
_space_group_IT_number 146
_space_group_name_Hall 'R 3'
loop_
_atom_site_label
_atom_site_type_symbol
_atom_site_fract_x
_atom_site_fract_y
_atom_site_fract_z
K1 K 0.0000 0.0000 0.0000
K2 K 0.0000 0.0000 0.4903
Np1 Np 0.0000 0.0000 0.6922
In1 In 0.0000 0.0000 0.1992
I1 I 0.0149 0.3935 0.4355
I2 I 0.0610 0.6921 0.2743
```

***

No. 4
A relaxed KNpIn2I8 crystal. Source: Alexandria via LeMat-Bulk, functional PBE.

Properties
- energy relative to the elements, uncorrected (meV/atom) = -717
- size of the total moment (μB per formula unit) = 3.21
- electronic total energy (eV/atom) = -3.377
- V (Å³/f.u.) = 562
- crystal system = triclinic

CIF file:
```
data_KNpIn2I8
_chemical_formula_sum 'K1 Np1 In2 I8'
_cell_length_a 7.3099
_cell_length_b 7.7891
_cell_length_c 9.8657
_cell_angle_alpha 89.97
_cell_angle_beta 89.93
_cell_angle_gamma 89.69
_space_group_name_H-M_alt 'P -1'
_space_group_IT_number 2
loop_
_space_group_symop_operation_xyz
'x,y,z'
'-x,-y,-z'
loop_
_atom_site_label
_atom_site_type_symbol
_atom_site_fract_x
_atom_site_fract_y
_atom_site_fract_z
K1 K 0.0000 0.0000 0.0000
Np1 Np 0.0000 0.0000 0.5000
In1 In 0.4999 0.5002 0.2452
I1 I 0.2358 0.3190 0.5002
I2 I 0.2456 0.8484 0.7168
I3 I 0.2465 0.8494 0.2829
I4 I 0.2804 0.3580 0.0003
```

***

No. 5
A relaxed K2NpInI8 crystal. Source: Alexandria via LeMat-Bulk, functional PBE.

Properties
- energy relative to the elements, uncorrected (meV/atom) = -896
- size of the total moment (μB per formula unit) = 3.95
- electronic total energy (eV/atom) = -3.419
- V (Å³/f.u.) = 576
- crystal system = triclinic

CIF file:
```
data_K2NpInI8
_chemical_formula_sum 'K2 Np1 In1 I8'
_cell_length_a 7.6547
_cell_length_b 8.0099
_cell_length_c 9.4199
_cell_angle_alpha 90.25
_cell_angle_beta 90.28
_cell_angle_gamma 93.61
_space_group_name_H-M_alt 'P -1'
_space_group_IT_number 2
loop_
_space_group_symop_operation_xyz
'x,y,z'
'-x,-y,-z'
loop_
_atom_site_label
_atom_site_type_symbol
_atom_site_fract_x
_atom_site_fract_y
_atom_site_fract_z
K1 K 0.0027 0.0028 0.2462
Np1 Np 0.5000 0.5000 0.5000
In1 In 0.5000 0.5000 0.0000
I1 I 0.2749 0.6246 0.7502
I2 I 0.2758 0.6264 0.2494
I3 I 0.2847 0.1689 0.5045
I4 I 0.2964 0.1825 0.9994
```

***

No. 6
A relaxed KInI2O crystal. Source: Alexandria via LeMat-Bulk, functional PBE.

Properties
- energy relative to the elements, uncorrected (meV/atom) = -109
- size of the total moment (μB per formula unit) = 2.07
- electronic total energy (eV/atom) = -2.488
- V (Å³/f.u.) = 224
- crystal system = tetragonal
- ΔE to the lowest computed polymorph (eV per atom) = 0.8415

CIF file:
```
data_KInI2O
_chemical_formula_sum 'K1 In1 I2 O1'
_cell_length_a 6.6029
_cell_length_b 6.6029
_cell_length_c 5.1342
_cell_angle_alpha 90.00
_cell_angle_beta 90.00
_cell_angle_gamma 90.00
_space_group_name_H-M_alt 'P 4/m m m'
_space_group_IT_number 123
_space_group_name_Hall '-P 4 2'
loop_
_atom_site_label
_atom_site_type_symbol
_atom_site_fract_x
_atom_site_fract_y
_atom_site_fract_z
K1 K 0.0000 0.0000 0.0000
In1 In 0.5000 0.5000 0.5000
I1 I 0.0000 0.5000 0.0000
O1 O 0.0000 0.0000 0.5000
```

***

No. 7
A relaxed KInIO2 crystal. Source: Alexandria via LeMat-Bulk, functional PBE.

Properties
- energy relative to the elements, uncorrected (meV/atom) = 203
- size of the total moment (μB per formula unit) = 2.88
- electronic total energy (eV/atom) = -2.858
- V (Å³/f.u.) = 173
- crystal system = tetragonal
- ΔE to the lowest computed polymorph (eV per atom) = 0.9338

CIF file:
```
data_KInIO2
_chemical_formula_sum 'K1 In1 I1 O2'
_cell_length_a 4.9599
_cell_length_b 4.9599
_cell_length_c 7.0227
_cell_angle_alpha 90.00
_cell_angle_beta 90.00
_cell_angle_gamma 90.00
_space_group_name_H-M_alt 'P 4/m m m'
_space_group_IT_number 123
_space_group_name_Hall '-P 4 2'
loop_
_atom_site_label
_atom_site_type_symbol
_atom_site_fract_x
_atom_site_fract_y
_atom_site_fract_z
K1 K 0.0000 0.0000 0.0000
In1 In 0.5000 0.5000 0.5000
I1 I 0.0000 0.0000 0.5000
O1 O 0.0000 0.5000 0.0000
```

***

No. 8
A relaxed KInIO2 crystal. Source: Alexandria via LeMat-Bulk, functional PBE.

Properties
- energy relative to the elements, uncorrected (meV/atom) = -731
- size of the total moment (μB per formula unit) = 1.01
- electronic total energy (eV/atom) = -3.792
- V (Å³/f.u.) = 121
- crystal system = tetragonal
- ΔE to the lowest computed polymorph (eV per atom) = 0.0000

CIF file:
```
data_KInIO2
_chemical_formula_sum 'K1 In1 I1 O2'
_cell_length_a 4.4502
_cell_length_b 4.4502
_cell_length_c 6.1196
_cell_angle_alpha 90.00
_cell_angle_beta 90.00
_cell_angle_gamma 90.00
_space_group_name_H-M_alt 'P 4/m m m'
_space_group_IT_number 123
_space_group_name_Hall '-P 4 2'
loop_
_atom_site_label
_atom_site_type_symbol
_atom_site_fract_x
_atom_site_fract_y
_atom_site_fract_z
K1 K 0.0000 0.0000 0.0000
In1 In 0.5000 0.5000 0.5000
I1 I 0.5000 0.5000 0.0000
O1 O 0.0000 0.5000 0.5000
```

***

No. 9
A relaxed KInI2O crystal. Source: Alexandria via LeMat-Bulk, functional PBE.

Properties
- energy relative to the elements, uncorrected (meV/atom) = -951
- size of the total moment (μB per formula unit) = 0.00
- electronic total energy (eV/atom) = -3.330
- V (Å³/f.u.) = 164
- crystal system = tetragonal
- ΔE to the lowest computed polymorph (eV per atom) = 0.0000

CIF file:
```
data_KInI2O
_chemical_formula_sum 'K1 In1 I2 O1'
_cell_length_a 6.3800
_cell_length_b 6.3800
_cell_length_c 4.0340
_cell_angle_alpha 90.00
_cell_angle_beta 90.00
_cell_angle_gamma 90.00
_space_group_name_H-M_alt 'P 4/m m m'
_space_group_IT_number 123
_space_group_name_Hall '-P 4 2'
loop_
_atom_site_label
_atom_site_type_symbol
_atom_site_fract_x
_atom_site_fract_y
_atom_site_fract_z
K1 K 0.0000 0.0000 0.0000
In1 In 0.5000 0.5000 0.5000
I1 I 0.0000 0.5000 0.5000
O1 O 0.5000 0.5000 0.0000
```

***

No. 10
A relaxed K2PaInI8 crystal. Source: Alexandria via LeMat-Bulk, functional PBE.

Properties
- energy relative to the elements, uncorrected (meV/atom) = -990
- size of the total moment (μB per formula unit) = 0.20
- electronic total energy (eV/atom) = -3.226
- V (Å³/f.u.) = 631
- crystal system = triclinic

CIF file:
```
data_K2PaInI8
_chemical_formula_sum 'K2 Pa1 In1 I8'
_cell_length_a 7.4936
_cell_length_b 8.2861
_cell_length_c 10.1735
_cell_angle_alpha 89.90
_cell_angle_beta 89.93
_cell_angle_gamma 87.93
_space_group_name_H-M_alt 'P -1'
_space_group_IT_number 2
loop_
_space_group_symop_operation_xyz
'x,y,z'
'-x,-y,-z'
loop_
_atom_site_label
_atom_site_type_symbol
_atom_site_fract_x
_atom_site_fract_y
_atom_site_fract_z
K1 K 0.0021 0.9998 0.2413
Pa1 Pa 0.5000 0.5000 0.5000
In1 In 0.5000 0.5000 0.0000
I1 I 0.2373 0.8134 0.9990
I2 I 0.2732 0.3705 0.2892
I3 I 0.2742 0.3689 0.7114
I4 I 0.2791 0.8076 0.5008
```